No. 1
This record from Alexandria via LeMat-Bulk describes crystalline KNpGa2O6 at its relaxed geometry. The functional is GGA-PBE.

Properties
E_tot   -0.5249 Ry per atom

```
KNpGa2O6
1.0
-0.836 5.730 2.090
-7.517 0.812 0.001
-0.491 -0.895 7.492
K Np Ga O
2 2 4 12
direct
0.250 0.911 0.089
0.750 0.089 0.911
0.250 0.286 0.714
0.750 0.714 0.286
0.348 0.786 0.631
0.152 0.369 0.214
0.652 0.214 0.369
0.848 0.631 0.786
0.209 0.008 0.736
0.291 0.264 0.992
0.791 0.992 0.264
0.709 0.736 0.008
0.410 0.793 0.373
0.090 0.627 0.207
0.590 0.207 0.627
0.910 0.373 0.793
0.173 0.614 0.709
0.327 0.291 0.386
0.827 0.386 0.291
0.673 0.709 0.614
```

---

No. 2
This record from Alexandria via LeMat-Bulk describes crystalline KNpGaO5 at its relaxed geometry. The functional is GGA-PBE.

Properties
E_tot   -0.5569 Ry per atom

```
KNpGaO5
1.0
6.086 0.106 -0.117
-1.675 5.852 -0.117
-1.978 -2.671 7.317
K Np Ga O
2 2 2 10
direct
0.331 0.669 0.250
0.669 0.331 0.750
0.000 0.000 0.500
0.000 0.000 0.000
0.689 0.311 0.250
0.311 0.689 0.750
0.060 0.940 0.250
0.940 0.060 0.750
0.886 0.283 0.107
0.114 0.717 0.893
0.717 0.114 0.393
0.283 0.886 0.607
0.774 0.639 0.396
0.226 0.361 0.604
0.361 0.226 0.104
0.639 0.774 0.896
```

---

No. 3
This record from Alexandria via LeMat-Bulk describes crystalline KNp2GaO8 at its relaxed geometry. The functional is GGA-PBE.

Properties
E_tot   -0.5983 Ry per atom

```
KNp2GaO8
1.0
4.991 0.210 0.074
0.275 4.988 0.072
0.114 0.115 7.068
K Np Ga O
1 2 1 8
direct
0.000 0.000 0.500
0.491 0.491 0.761
0.509 0.509 0.239
0.000 0.000 0.000
0.202 0.791 0.199
0.683 0.683 0.011
0.791 0.202 0.199
0.798 0.209 0.801
0.317 0.317 0.989
0.209 0.798 0.801
0.660 0.660 0.541
0.340 0.340 0.459
```

---

E_form (uncorrected) / eV/atom: -2.158, -2.345, -2.335